The following is a DFT calculation (PBE) of Fe2Co3Ir2 after structural relaxation.

POSCAR file:
```
Fe2Co3Ir2
1.0
4.147 -1.826 0.000
4.147 1.826 0.000
-0.723 0.000 5.665
Fe Co Ir
2 3 2
Cartesian
0.437 0.000 1.302
7.134 0.000 4.363
1.327 0.000 3.583
3.785 0.000 2.833
6.244 0.000 2.082
2.912 0.000 0.435
4.659 0.000 5.230
```

Calculated values
Space group: C2/m (12)
Spin magnetization in μB/f.u.: 9.48
Calculated formation energy in kJ per mole of atoms: 1.0